Below is crystalline Cr2CuRe at its relaxed geometry, with properties calculated at the PBE level.

Summary:
The calculation puts the size of the total moment at 0.00 μB per atom. The volume is 50.9 Å³ per cell. The value obtained for the total energy is -8.676 eV per atom. As for the energy relative to the lowest polymorph listed for this composition: 60 meV per atom. The formation energy comes out at 0.272 eV per atom.

Geometry as extended XYZ:
```
4
Lattice="4.7260 -0.1645 0.5504 3.8108 2.8001 0.5504 1.2883 0.3977 3.8392" Properties=species:S:1:pos:R:3 pbc="T T T"
Cr 1.3626 0.4207 3.8228
Cr 4.8382 1.4937 2.4864
Cu 2.4563 0.7583 1.2350
Re 7.3688 2.2750 3.7050
```